Record 1
! CoSi4 | the Open Quantum Materials Database | PBE-GGA | relaxed; values from VASP
! * raw total energy: -118.94 eV/cell
&SYSTEM
  ibrav = 0, nat = 20, ntyp = 2
/
ATOMIC_SPECIES
Si 28.09 Si.upf
Co 58.93 Co.upf
ATOMIC_POSITIONS crystal
Si 0.817 0.817 0.501
Si 0.683 0.683 0.499
Si 0.316 0.317 0.499
Si 0.183 0.684 0.000
Si 0.183 0.184 0.501
Si 0.067 0.567 0.001
Si 0.567 0.066 0.999
Si 0.933 0.433 0.999
Si 0.816 0.317 0.000
Si 0.934 0.933 0.500
Si 0.067 0.067 0.500
Si 0.317 0.817 0.000
Si 0.683 0.183 0.000
Si 0.434 0.933 0.001
Si 0.433 0.433 0.500
Si 0.567 0.566 0.500
Co 0.500 0.000 0.500
Co 0.000 0.500 0.500
Co 0.750 0.750 0.000
Co 0.250 0.250 0.000
CELL_PARAMETERS angstrom
-2.637 2.637 10.129
2.637 -2.637 10.129
2.637 2.637 -10.129

***

Record 2
! Co3Si | the Open Quantum Materials Database | PBE-GGA | relaxed; values from VASP
! * raw total energy: -27.76 eV/cell
&SYSTEM
  ibrav = 0, nat = 4, ntyp = 2
/
ATOMIC_SPECIES
Co 58.93 Co.upf
Si 28.09 Si.upf
ATOMIC_POSITIONS crystal
Co 0.500 0.500 0.000
Co 0.250 0.750 0.500
Co 0.750 0.250 0.500
Si 0.000 0.000 0.000
CELL_PARAMETERS angstrom
2.607 -1.973 -2.609
3.506 -0.702 2.171
-3.971 -0.877 0.979

***

Record 3
! CoSi2 | the Open Quantum Materials Database | PBE-GGA | relaxed; values from VASP
! * raw total energy: -19.36 eV/cell
&SYSTEM
  ibrav = 0, nat = 3, ntyp = 2
/
ATOMIC_SPECIES
Si 28.09 Si.upf
Co 58.93 Co.upf
ATOMIC_POSITIONS crystal
Si 0.750 0.500 0.250
Si 0.250 0.500 0.750
Co 0.000 0.000 0.000
CELL_PARAMETERS angstrom
2.674 -2.674 0.000
-2.674 0.000 -2.674
2.674 2.674 0.000

***

Record 4
! CoSi | the Open Quantum Materials Database | PBE-GGA | relaxed; values from VASP
! * raw total energy: -13.26 eV/cell
&SYSTEM
  ibrav = 0, nat = 2, ntyp = 2
/
ATOMIC_SPECIES
Si 28.09 Si.upf
Co 58.93 Co.upf
ATOMIC_POSITIONS crystal
Si 0.500 0.500 0.500
Co 0.000 0.000 0.000
CELL_PARAMETERS angstrom
1.327 0.766 3.627
-1.327 0.766 3.627
0.000 -1.532 3.627

***

Record 5
! Co3Si | the Open Quantum Materials Database | PBE-GGA | relaxed; values from VASP
! * raw total energy: -56.13 eV/cell
&SYSTEM
  ibrav = 0, nat = 8, ntyp = 2
/
ATOMIC_SPECIES
Si 28.09 Si.upf
Co 58.93 Co.upf
ATOMIC_POSITIONS crystal
Si 0.166 0.834 0.750
Si 0.834 0.166 0.250
Co 0.662 0.900 0.750
Co 0.100 0.338 0.750
Co 0.399 0.601 0.250
Co 0.900 0.662 0.250
Co 0.601 0.399 0.750
Co 0.338 0.100 0.250
CELL_PARAMETERS angstrom
-4.364 1.901 0.863
1.284 -1.177 4.513
1.529 3.315 0.430

***

Record 6
! CoSi2 | the Open Quantum Materials Database | PBE-GGA | relaxed; values from VASP
! * raw total energy: -32.15 eV/cell
&SYSTEM
  ibrav = 0, nat = 6, ntyp = 2
/
ATOMIC_SPECIES
Si 28.09 Si.upf
Co 58.93 Co.upf
ATOMIC_POSITIONS crystal
Si 0.375 0.375 0.375
Si 0.875 0.375 0.375
Si 0.375 0.375 0.875
Si 0.375 0.875 0.375
Co 0.250 0.250 0.250
Co 0.500 0.500 0.500
CELL_PARAMETERS angstrom
3.386 1.955 5.530
-3.386 1.955 5.530
0.000 -3.910 5.530

***

Record 7
! CoSi | the Open Quantum Materials Database | PBE-GGA | relaxed; values from VASP
! * raw total energy: -55.05 eV/cell
&SYSTEM
  ibrav = 0, nat = 8, ntyp = 2
/
ATOMIC_SPECIES
Co 58.93 Co.upf
Si 28.09 Si.upf
ATOMIC_POSITIONS crystal
Co 0.145 0.145 0.145
Co 0.855 0.645 0.355
Co 0.355 0.855 0.645
Co 0.645 0.355 0.855
Si 0.343 0.657 0.157
Si 0.657 0.157 0.343
Si 0.843 0.843 0.843
Si 0.157 0.343 0.657
CELL_PARAMETERS angstrom
4.422 0.000 0.000
0.000 4.422 0.000
0.000 0.000 4.422

***

Record 8
! Co3Si | the Open Quantum Materials Database | PBE-GGA | relaxed; values from VASP
! * raw total energy: -55.66 eV/cell
&SYSTEM
  ibrav = 0, nat = 8, ntyp = 2
/
ATOMIC_SPECIES
Co 58.93 Co.upf
Si 28.09 Si.upf
ATOMIC_POSITIONS crystal
Co 0.833 0.667 0.250
Co 0.833 0.167 0.250
Co 0.667 0.833 0.750
Co 0.167 0.833 0.750
Co 0.167 0.333 0.750
Co 0.333 0.167 0.250
Si 0.333 0.667 0.250
Si 0.667 0.333 0.750
CELL_PARAMETERS angstrom
4.935 0.000 0.000
-2.467 4.274 0.000
0.000 0.000 3.949

***

Record 9
! SmCoSi | the Open Quantum Materials Database | PBE-GGA | relaxed; values from VASP
! * raw total energy: -38.72 eV/cell
&SYSTEM
  ibrav = 0, nat = 6, ntyp = 3
/
ATOMIC_SPECIES
Co 58.93 Co.upf
Sm 150.36 Sm.upf
Si 28.09 Si.upf
ATOMIC_POSITIONS crystal
Co 0.250 0.750 0.000
Co 0.750 0.250 0.000
Sm 0.750 0.750 0.321
Sm 0.250 0.250 0.679
Si 0.750 0.750 0.824
Si 0.250 0.250 0.176
CELL_PARAMETERS angstrom
3.989 0.000 0.000
0.000 3.989 0.000
0.000 0.000 6.822

***

Record 10
! SmCoSi3 | the Open Quantum Materials Database | PBE-GGA | relaxed; values from VASP
! * raw total energy: -56.30 eV/cell
&SYSTEM
  ibrav = 0, nat = 10, ntyp = 3
/
ATOMIC_SPECIES
Si 28.09 Si.upf
Sm 150.36 Sm.upf
Co 58.93 Co.upf
ATOMIC_POSITIONS crystal
Si 0.500 0.000 0.327
Si 0.000 0.500 0.673
Si 0.500 0.000 0.673
Si 0.500 0.500 0.327
Si 0.000 0.500 0.327
Si 0.500 0.500 0.673
Sm 0.000 0.000 0.173
Sm 0.000 0.000 0.827
Co 0.333 0.667 0.500
Co 0.667 0.333 0.500
CELL_PARAMETERS angstrom
-4.201 -1.068 2.393
1.288 -2.590 -4.018
5.331 -7.012 6.229

***

Record 11
! Sm2Co3Si5 | the Open Quantum Materials Database | PBE-GGA | relaxed; values from VASP
! * raw total energy: -130.68 eV/cell
&SYSTEM
  ibrav = 0, nat = 20, ntyp = 3
/
ATOMIC_SPECIES
Sm 150.36 Sm.upf
Co 58.93 Co.upf
Si 28.09 Si.upf
ATOMIC_POSITIONS crystal
Sm 0.131 0.401 0.263
Sm 0.599 0.869 0.237
Sm 0.401 0.131 0.763
Sm 0.869 0.599 0.737
Co 0.462 0.737 0.624
Co 0.538 0.263 0.376
Co 0.737 0.462 0.124
Co 0.263 0.538 0.876
Co 0.997 0.003 0.250
Co 0.003 0.997 0.750
Si 0.260 0.059 0.162
Si 0.490 0.510 0.250
Si 0.770 0.230 0.750
Si 0.941 0.740 0.338
Si 0.783 0.217 0.250
Si 0.059 0.260 0.662
Si 0.510 0.490 0.750
Si 0.217 0.783 0.750
Si 0.230 0.770 0.250
Si 0.740 0.941 0.838
CELL_PARAMETERS angstrom
5.440 -5.758 0.000
5.440 5.758 0.000
-2.683 0.000 4.865

***

Record 12
! SmCoSi3 | the Open Quantum Materials Database | PBE-GGA | relaxed; values from VASP
! * raw total energy: -31.45 eV/cell
&SYSTEM
  ibrav = 0, nat = 5, ntyp = 3
/
ATOMIC_SPECIES
Si 28.09 Si.upf
Co 58.93 Co.upf
Sm 150.36 Sm.upf
ATOMIC_POSITIONS crystal
Si 0.239 0.739 0.477
Si 0.573 0.573 0.146
Si 0.739 0.239 0.477
Co 0.339 0.339 0.678
Sm 0.996 0.996 0.991
CELL_PARAMETERS angstrom
3.354 2.361 -0.126
2.306 -3.218 1.080
-2.220 -0.684 -5.092

***

Look up the raw total energy of the tenth one. -56.30 eV/cell

***

The highest raw total energy belongs to which entry? number 4

***

Among the records above, which one has the lowest raw total energy? Sm2Co3Si5

***

Copy entry 8 word for word.
! Co3Si | the Open Quantum Materials Database | PBE-GGA | relaxed; values from VASP
! * raw total energy: -55.66 eV/cell
&SYSTEM
  ibrav = 0, nat = 8, ntyp = 2
/
ATOMIC_SPECIES
Co 58.93 Co.upf
Si 28.09 Si.upf
ATOMIC_POSITIONS crystal
Co 0.833 0.667 0.250
Co 0.833 0.167 0.250
Co 0.667 0.833 0.750
Co 0.167 0.833 0.750
Co 0.167 0.333 0.750
Co 0.333 0.167 0.250
Si 0.333 0.667 0.250
Si 0.667 0.333 0.750
CELL_PARAMETERS angstrom
4.935 0.000 0.000
-2.467 4.274 0.000
0.000 0.000 3.949